No. 1
# PBEsol Cu3AsF, optimized geometry
data_Cu3AsF
_cell_length_a 4.433
_cell_length_b 4.433
_cell_length_c 4.433
_cell_angle_alpha 90.00
_cell_angle_beta 90.00
_cell_angle_gamma 90.00
_symmetry_space_group_name_H-M 'P m -3 m'
_symmetry_Int_Tables_number 221
_symmetry_space_group_name_Hall '-P 4 2 3'
loop_
_atom_site_label
_atom_site_type_symbol
_atom_site_fract_x
_atom_site_fract_y
_atom_site_fract_z
Cu1 Cu 0.000 0.000 0.500
As1 As 0.000 0.000 0.000
F1 F 0.500 0.500 0.500
# - magnetization (μB per cell) = 0.1
# - D(E_F) (states/eV per atom) = 1.8066
# - raw formation energy (eV per atom) = 0.249

No. 2
# PBEsol CuAs3F, optimized geometry
data_CuAs3F
_cell_length_a 4.428
_cell_length_b 4.428
_cell_length_c 4.428
_cell_angle_alpha 90.00
_cell_angle_beta 90.00
_cell_angle_gamma 90.00
_symmetry_space_group_name_H-M 'P m -3 m'
_symmetry_Int_Tables_number 221
_symmetry_space_group_name_Hall '-P 4 2 3'
loop_
_atom_site_label
_atom_site_type_symbol
_atom_site_fract_x
_atom_site_fract_y
_atom_site_fract_z
Cu1 Cu 0.000 0.000 0.000
As1 As 0.000 0.500 0.500
F1 F 0.500 0.500 0.500
# - offset from the most stable computed form (eV per atom) = 0.093
# - magnetization (μB per cell) = 0.0
# - D(E_F) (states/eV per atom) = 0.9126
# - raw formation energy (eV per atom) = 0.541

Q: The highest magnetization belongs to which entry?
A: Cu3AsF